Entry 1:
Computed, not measured: crystalline ZrHgRu2 at its relaxed geometry at the PBE-GGA level of DFT.

a = 5.382 Å, b = 5.382 Å, c = 4.676 Å
α = 68.84°, β = 68.84°, γ = 33.60°
Element x y z (fractional)
Hg1 0.736 0.736 0.812
Ru1 0.985 0.985 0.954
Ru2 0.270 0.270 0.291
Zr1 0.509 0.509 0.443

crystal system: monoclinic
energy of formation: 0.02 eV per atom
electronic total energy: -6.833 eV per atom
density: 11813 kg/m3

Entry 2:
Computed, not measured: crystalline La2PrSm3Dy6 at its relaxed geometry at the PBE-GGA level of DFT.

a = 6.277 Å, b = 6.277 Å, c = 11.877 Å
α = 95.04°, β = 95.04°, γ = 120.01°
Element x y z (fractional)
La1 0.333 0.667 0.000
La2 0.667 0.333 0.000
Pr1 0.000 0.000 0.000
Sm1 0.167 0.833 0.500
Sm2 0.833 0.167 0.500
Sm3 0.500 0.500 0.500
Dy1 0.915 0.582 0.747
Dy2 0.752 0.752 0.253
Dy3 0.085 0.418 0.253
Dy4 0.582 0.915 0.747
Dy5 0.248 0.248 0.747
Dy6 0.418 0.085 0.253

crystal system: monoclinic
energy of formation: 0.01 eV per atom
electronic total energy: -4.686 eV per atom
density: 7680 kg/m3

Entry 3:
Computed, not measured: crystalline KV2Se2 at its relaxed geometry at the PBE-GGA level of DFT.

a = 4.942 Å, b = 4.942 Å, c = 5.386 Å
α = 62.69°, β = 62.69°, γ = 90.00°
Element x y z (fractional)
K1 0.000 0.000 0.000
Se1 0.750 0.250 0.500
Se2 0.250 0.750 0.500
V1 0.383 0.383 0.234
V2 0.617 0.617 0.766

crystal system: tetragonal
uncorrected formation energy: -0.38 eV/atom
electronic total energy: -5.639 eV per atom
energy above the lowest structure with this stoichiometry: 1.99 eV per formula unit
density: 4958 kg/m3

> Which of these has the highest electronic total energy?

La2PrSm3Dy6